A plane-wave DFT calculation with GGA-PBE was carried out for crystalline Rb2ScAlI6 at its relaxed geometry.

```
Rb2ScAlI6
1.0
0.000 6.047 6.047
6.047 0.000 6.047
6.047 6.047 0.000
Rb Sc Al I
2 1 1 6
Direct
0.250 0.250 0.250
0.750 0.750 0.750
0.000 0.000 0.000
0.500 0.500 0.500
0.240 0.240 0.760
0.240 0.760 0.240
0.240 0.760 0.760
0.760 0.240 0.240
0.760 0.240 0.760
0.760 0.760 0.240
```

Calculated values
SG: Fm-3m
ρ in Mg/m³: 3.77
E_form (uncorrected) in eV/atom: -1.068

---

A plane-wave DFT calculation with GGA-PBE was carried out for crystalline SrAgSb2 at its relaxed geometry.

```
SrAgSb2
1.0
0.000 3.823 3.823
3.823 0.000 3.823
3.823 3.823 0.000
Sr Ag Sb
1 1 2
Direct
0.000 0.000 0.000
0.500 0.500 0.500
0.250 0.250 0.250
0.750 0.750 0.750
```

Calculated values
SG: Fm-3m
ρ in Mg/m³: 6.52
E_form (uncorrected) in eV/atom: -0.214

---

A plane-wave DFT calculation with GGA-PBE was carried out for crystalline ScZn3Os at its relaxed geometry.

```
ScZn3Os
1.0
4.726 0.000 0.000
0.000 4.726 0.000
0.000 0.000 4.726
Sc Zn Os
1 3 1
Direct
0.000 0.000 0.000
0.000 0.500 0.500
0.500 0.000 0.500
0.500 0.500 0.000
0.500 0.500 0.500
```

Calculated values
SG: Pm-3m
Energy of formation in eV/atom: 0.40
Relative energy among the computed polymorphs in meV/atom: 0
ρ in Mg/m³: 6.79

---

A plane-wave DFT calculation with GGA-PBE was carried out for crystalline Cs2TcNiPb at its relaxed geometry.

```
Cs2TcNiPb
1.0
6.512 0.000 0.000
0.000 6.512 0.000
0.000 0.000 4.422
Cs Tc Ni Pb
2 1 1 1
Direct
0.000 0.500 0.000
0.500 0.000 0.000
0.000 0.000 0.000
0.000 0.000 0.500
0.500 0.500 0.500
```

Calculated values
SG: P4/mmm
Energy of formation in eV/atom: 1.22
ρ in Mg/m³: 5.58

---

A plane-wave DFT calculation with GGA-PBE was carried out for crystalline CaZrOs2 at its relaxed geometry.

```
CaZrOs2
1.0
1.656 -2.465 0.000
1.656 2.465 0.000
0.000 0.000 9.035
Ca Zr Os
1 1 2
Direct
0.000 0.000 0.000
0.000 0.000 0.500
0.500 0.500 0.265
0.500 0.500 0.735
```

Calculated values
SG: Cmmm
Energy of formation in eV/atom: 0.31
ρ in Mg/m³: 11.52

---

A plane-wave DFT calculation with GGA-PBE was carried out for crystalline Be2CuI at its relaxed geometry.

```
Be2CuI
1.0
-2.925 2.925 4.496
2.925 -2.925 4.496
2.925 2.925 -4.496
Be Cu I
4 2 2
Direct
0.080 0.625 0.955
0.375 0.330 0.455
0.670 0.125 0.045
0.875 0.920 0.545
0.000 0.000 0.000
0.750 0.250 0.500
0.250 0.750 0.500
0.500 0.500 0.000
```

Calculated values
SG: I-42d
Relative energy among the computed polymorphs in meV/atom: 0
ρ in Mg/m³: 4.50
E_form (uncorrected) in eV/atom: 0.738

---

A plane-wave DFT calculation with GGA-PBE was carried out for crystalline Mg2ZnIr at its relaxed geometry.

```
Mg2ZnIr
1.0
5.030 -1.615 0.000
5.030 1.615 0.000
-1.921 0.000 3.990
Mg Zn Ir
2 1 1
Direct
0.000 0.000 0.000
0.223 0.223 0.719
0.757 0.757 0.252
0.480 0.480 0.481
```

Calculated values
SG: Cm
Energy of formation in eV/atom: -0.30
ρ in Mg/m³: 7.84

---

A plane-wave DFT calculation with GGA-PBE was carried out for crystalline NaBeAgPd2 at its relaxed geometry.

```
NaBeAgPd2
1.0
4.315 0.000 0.000
0.000 4.315 0.000
0.000 0.000 4.541
Na Be Ag Pd
1 1 1 2
Direct
0.000 0.000 0.000
0.500 0.500 0.500
0.500 0.500 0.000
0.000 0.500 0.500
0.500 0.000 0.500
```

Calculated values
SG: P4/mmm
Energy of formation in eV/atom: -0.09
Relative energy among the computed polymorphs in meV/atom: 0
ρ in Mg/m³: 6.93

---

The lowest ρ belongs to which entry?
Rb2ScAlI6